Entry 1:
# PBE Ba12Tl4InO3, relaxed
# Total moment (μB per formula unit): 0.002
# Total energy (eV per formula unit): -66.47
# Formation energy from raw total energies (eV/atom): -0.82
data_Ba12Tl4InO3
_chemical_formula_sum 'Ba24 Tl8 In2 O6'
_cell_length_a 11.6709
_cell_length_b 11.6709
_cell_length_c 11.6709
_cell_angle_alpha 90.00
_cell_angle_beta 90.00
_cell_angle_gamma 90.00
_space_group_name_H-M_alt 'I m -3 m'
_space_group_IT_number 229
_space_group_name_Hall '-I 4 2 3'
loop_
_atom_site_label
_atom_site_type_symbol
_atom_site_fract_x
_atom_site_fract_y
_atom_site_fract_z
Ba1 Ba 0.0000 0.0000 0.2796
Ba2 Ba 0.0000 0.2500 0.5000
Tl1 Tl 0.2500 0.2500 0.2500
In1 In 0.0000 0.0000 0.0000
O1 O 0.0000 0.0000 0.5000

=====

Entry 2:
# PBE BaTm2InO5, relaxed
# Total moment (μB per formula unit): 0.000
# Total energy (eV per formula unit): -61.53
# Formation energy from raw total energies (eV/atom): -2.57
data_BaTm2InO5
_chemical_formula_sum 'Ba2 Tm4 In2 O10'
_cell_length_a 4.0414
_cell_length_b 5.8378
_cell_length_c 11.7645
_cell_angle_alpha 90.00
_cell_angle_beta 90.00
_cell_angle_gamma 90.00
_space_group_name_H-M_alt 'I m m m'
_space_group_IT_number 71
_space_group_name_Hall '-I 2 2'
loop_
_atom_site_label
_atom_site_type_symbol
_atom_site_fract_x
_atom_site_fract_y
_atom_site_fract_z
Ba1 Ba 0.0000 0.0000 0.0000
Tm1 Tm 0.0000 0.5000 0.2146
In1 In 0.0000 0.0000 0.5000
O1 O 0.0000 0.2354 0.3420
O2 O 0.0000 0.5000 0.0000

=====

Entry 3:
# PBE BaUIn2O8, relaxed
# Total moment (μB per formula unit): 0.000
# Total energy (eV per formula unit): -83.13
# Formation energy from raw total energies (eV/atom): -2.07
data_BaUIn2O8
_chemical_formula_sum 'Ba1 U1 In2 O8'
_cell_length_a 4.9701
_cell_length_b 5.0545
_cell_length_c 7.9124
_cell_angle_alpha 92.62
_cell_angle_beta 90.46
_cell_angle_gamma 92.39
_space_group_name_H-M_alt 'P -1'
_space_group_IT_number 2
_space_group_name_Hall '-P 1'
loop_
_atom_site_label
_atom_site_type_symbol
_atom_site_fract_x
_atom_site_fract_y
_atom_site_fract_z
Ba1 Ba 0.0000 0.0000 0.0000
U1 U 0.0000 0.0000 0.5000
In1 In 0.4873 0.5176 0.6971
O1 O 0.1794 0.1961 0.3062
O2 O 0.1902 0.2059 0.7081
O3 O 0.3054 0.7116 0.4933
O4 O 0.4724 0.6310 0.9613